## RuPt2 (GGA-PBE)

Data for RuPt2 after structural relaxation.

Results
VASP energy ... -6.907 eV/atom
Formation energy from the elements ... 20.50 kJ/mol of atoms
Magnetic moment ... 1.315 μB/cell

Lattice parameters (Å, degrees): 4.4861 4.4861 2.6728 90.00 90.00 120.00
Fractional positions:
Ru 0.0000 0.0000 0.0000
Pt 0.3333 0.6667 0.5000
Pt 0.6667 0.3333 0.5000

## In12BiPb4 (GGA-PBE)

Data for In12BiPb4 after structural relaxation.

Results
VASP energy ... -2.969 eV/atom
Formation energy from the elements ... 6.27 kJ/mol of atoms
Magnetic moment ... 0.000 μB/cell

Lattice parameters (Å, degrees): 7.1079 8.1166 9.6873 74.61 75.29 71.32
Fractional positions:
In 0.0228 0.0546 0.1455
In 0.2148 0.2325 0.7587
In 0.2864 0.2861 0.2449
In 0.2995 0.6376 0.6855
In 0.3306 0.6732 0.0221
In 0.3434 0.7109 0.3316
In 0.6566 0.2891 0.6684
In 0.6694 0.3268 0.9779
In 0.7005 0.3624 0.3145
In 0.7136 0.7139 0.7551
In 0.7852 0.7675 0.2413
In 0.9772 0.9454 0.8545
Bi 0.0000 0.0000 0.5000
Pb 0.0000 0.5000 0.0000
Pb 0.0000 0.5000 0.5000
Pb 0.5000 0.0000 0.0000
Pb 0.5000 0.0000 0.5000